An optimized crystal structure of AsRu2Br, computed with GGA-PBE.

The structure in POSCAR format:
```
AsRu2Br
1.0
2.951 -0.007 0.000
-1.536 2.519 0.000
0.000 0.000 10.183
Ru As Br
2 1 1
Direct
0.000 0.000 0.020
0.500 0.500 0.236
0.000 0.000 0.436
0.500 0.500 0.808
```

## Properties
The calculation puts the spin magnetization at 0.00 Bohr magnetons per cell. The total energy is -5.643 eV per atom. Its raw formation energy is 0.576 eV/atom. Its space group is Cmm2 (35).